[1]
A relaxed ScTeOF2 crystal. Source: Alexandria via LeMat-Bulk, functional PBEsol.

The calculated total energy comes out at -30.3 eV/cell. As for the space-group type: P4/mmm. The calculation puts the density of states at the Fermi level at 3.32 states/eV/f.u.

Lattice parameters (Å, degrees): 4.0300 4.0300 4.4394 90.00 90.00 90.00
Fractional positions:
O1 0.0000 0.0000 0.5000
F1 0.5000 0.0000 0.0000
Sc1 0.0000 0.0000 0.0000
F2 0.0000 0.5000 0.0000
Te1 0.5000 0.5000 0.5000

[2]
A relaxed ScWO2F crystal. Source: Alexandria via LeMat-Bulk, functional PBEsol.

The calculated total energy comes out at -40.3 eV/cell. As for the space-group type: P4/mmm. The calculation puts the density of states at the Fermi level at 3.68 states/eV/f.u.

Lattice parameters (Å, degrees): 4.1844 3.9084 3.9084 90.00 90.00 90.00
Each line ends with the local moment (μB).
Fractional positions:
F1 0.5000 0.0000 0.0000  0.02
Sc1 0.5000 0.5000 0.5000  0.74
O1 0.0000 0.5000 0.0000  -0.01
W1 0.0000 0.0000 0.0000  -0.01
O2 0.0000 0.0000 0.5000  -0.01

[3]
A relaxed ScZnOF2 crystal. Source: Alexandria via LeMat-Bulk, functional PBEsol.

The calculated total energy comes out at -29.6 eV/cell. As for the space-group type: P4/mmm. The calculation puts the density of states at the Fermi level at 2.10 states/eV/f.u.

Lattice parameters (Å, degrees): 4.0543 4.0543 4.0799 90.00 90.00 90.00
Fractional positions:
F1 0.0000 0.5000 0.0000
Sc1 0.0000 0.0000 0.0000
F2 0.5000 0.0000 0.0000
O1 0.0000 0.0000 0.5000
Zn1 0.5000 0.5000 0.5000

Q: calculated total energy of number 2 (ScWO2F)?
A: -40.3 eV/cell

Q: What is the formula in the third record?
A: ScZnOF2